[1]
The following is a DFT calculation (GGA-PBE) of a relaxed TmZnIrO6 crystal.

Properties
As for the density: 7.97 g/cm³. The formation energy (no corrections) comes out at -13.0 eV/f.u. The space group is P-31c, No. 163.

Unit cell a=5.3798 b=5.3798 c=8.6836 alpha=90.00 beta=90.00 gamma=120.00
With the nearest neighbours (Å) after each atom.
Element x y z (fractional)
Tm1 0.3333 0.6667 0.2500  6 O 2.21
Tm2 0.6667 0.3333 0.7500  6 O 2.21
Zn1 0.0000 0.0000 0.0000  6 O 2.16
Zn2 0.0000 0.0000 0.5000  6 O 2.16
Ir1 0.6667 0.3333 0.2500  6 O 1.93
Ir2 0.3333 0.6667 0.7500  6 O 1.93
O1 0.6731 0.6344 0.1252  1 Ir 1.93, 1 Zn 2.16
O2 0.9613 0.3269 0.1252  1 Ir 1.93, 1 Zn 2.16
O3 0.3269 0.9613 0.6252  1 Ir 1.93, 1 Zn 2.16
O4 0.0387 0.6731 0.8748  1 Ir 1.93, 1 Zn 2.16
O5 0.3656 0.3269 0.3748  1 Ir 1.93, 1 Zn 2.16
O6 0.9613 0.6344 0.3748  1 Ir 1.93, 1 Zn 2.16
O7 0.6344 0.9613 0.8748  1 Ir 1.93, 1 Zn 2.16
O8 0.6731 0.0387 0.3748  1 Ir 1.93, 1 Zn 2.16
O9 0.0387 0.3656 0.6252  1 Ir 1.93, 1 Zn 2.16
O10 0.3656 0.0387 0.1252  1 Ir 1.93, 1 Zn 2.16
O11 0.6344 0.6731 0.6252  1 Ir 1.93, 1 Zn 2.16
O12 0.3269 0.3656 0.8748  1 Ir 1.93, 1 Zn 2.16

---

[2]
The following is a DFT calculation (GGA-PBE) of a relaxed LaAl3AgPt crystal.

Properties
As for the density: 7.07 g/cm³. The value obtained for the formation energy is -493 meV per atom. The space group is Cmcm, No. 63.

Unit cell a=5.9896 b=6.0199 c=7.4434 alpha=113.85 beta=90.00 gamma=90.00
With the nearest neighbours (Å) after each atom.
Element x y z (fractional)
La1 0.7500 0.2932 0.5864  1 Pt 2.82, 2 Ag 3.07
La2 0.2500 0.7068 0.4136  1 Pt 2.82, 2 Ag 3.07
Al1 0.2500 0.1260 0.2520  4 Al 2.84, 3 Pt 2.89-3.04, 1 Ag 2.94
Al2 0.0000 0.2805 0.0000  2 Pt 2.54, 3 Al 2.64-2.84
Al3 0.5000 0.7195 0.0000  2 Pt 2.54, 3 Al 2.64-2.84
Al4 0.5000 0.2805 0.0000  2 Pt 2.54, 3 Al 2.64-2.84
Al5 0.0000 0.7195 0.0000  2 Pt 2.54, 3 Al 2.64-2.84
Al6 0.7500 0.8740 0.7480  4 Al 2.84, 3 Pt 2.89-3.04, 1 Ag 2.94
Ag1 0.2500 0.3419 0.6838  5 Al 2.94, 2 La 3.07, 2 Pt 3.17
Ag2 0.7500 0.6581 0.3162  5 Al 2.94, 2 La 3.07, 2 Pt 3.17
Pt1 0.2500 0.9138 0.8277  4 Al 2.54, 1 La 2.82
Pt2 0.7500 0.0862 0.1723  4 Al 2.54, 1 La 2.82

---

[3]
The following is a DFT calculation (GGA-PBE) of a relaxed Zn2NiOs crystal.

Properties
As for the density: 11.88 g/cm³. The value obtained for the formation energy is 145 meV per atom. The space group is Pmmm, No. 47.

Unit cell a=2.9488 b=4.3225 c=4.1638 alpha=90.00 beta=90.00 gamma=90.00
With the nearest neighbours (Å) after each atom.
Element x y z (fractional)
Ni1 0.5000 0.0000 0.5000  4 Zn 2.55, 4 Os 2.62
Os1 0.0000 0.5000 0.5000  4 Zn 2.55, 4 Ni 2.62
Zn1 0.0000 0.0000 0.0000  4 Ni 2.55, 4 Zn 2.62
Zn2 0.5000 0.5000 0.0000  4 Os 2.55, 4 Zn 2.62

---

- Which formula does entry 2 have?
  LaAl3AgPt